No. 1
{
  "formula": "KHg9Pd2",
  "functional": "PBE",
  "state": "relaxed",
  "cell": [[3.955, 0.000, 0.000], [0.000, 8.169, -4.716], [0.000, 0.000, 9.432]],
  "species": ["Pd", "Pd", "Hg", "Hg", "Hg", "Hg", "Hg", "Hg", "Hg", "Hg", "Hg", "K"],
  "fractional_positions": [[0.000, 0.333, 0.667], [0.000, 0.667, 0.333], [0.500, 0.389, 0.194], [0.500, 0.611, 0.806], [0.500, 0.806, 0.194], [0.000, 0.500, 0.500], [0.000, 0.500, 0.000], [0.500, 0.806, 0.611], [0.500, 0.194, 0.806], [0.000, 0.000, 0.500], [0.500, 0.194, 0.389], [0.000, 0.000, 0.000]],
  "ef_kj_per_mol_fu": -130
}

=====

No. 2
{
  "formula": "TbPrTm5Th2",
  "functional": "PBE",
  "state": "relaxed",
  "cell": [[8.894, 0.000, 0.000], [0.000, 8.894, 0.000], [-4.447, -4.447, 7.470]],
  "species": ["Tm", "Tm", "Tm", "Tm", "Tm", "Tm", "Tm", "Tm", "Tm", "Tm", "Pr", "Pr", "Th", "Th", "Th", "Th", "Tb", "Tb"],
  "fractional_positions": [[0.430, 0.343, 0.273], [0.930, 0.430, 0.273], [0.157, 0.070, 0.727], [0.843, 0.930, 0.273], [0.570, 0.657, 0.727], [0.500, 0.500, 0.000], [0.000, 0.000, 0.000], [0.070, 0.570, 0.727], [0.657, 0.157, 0.727], [0.343, 0.843, 0.273], [0.750, 0.750, 0.500], [0.250, 0.250, 0.500], [0.882, 0.618, 0.000], [0.118, 0.382, 0.000], [0.382, 0.882, 0.000], [0.618, 0.118, 0.000], [0.250, 0.750, 0.500], [0.750, 0.250, 0.500]],
  "ef_kj_per_mol_fu": 290
}

=====

No. 3
{
  "formula": "BaSb2Cl",
  "functional": "PBE",
  "state": "relaxed",
  "cell": [[-1.879, 5.866, 3.337], [0.375, -2.085, 3.876], [4.248, 1.144, 0.382]],
  "species": ["Sb", "Sb", "Ba", "Cl"],
  "fractional_positions": [[0.000, 0.978, 0.978], [0.000, 0.522, 0.522], [0.500, 0.250, 0.250], [0.500, 0.750, 0.750]],
  "raw_formation_energy_ev_per_atom": -1.01,
  "e_above_lowest_polymorph_ev_per_fu": 0.06
}

=====

No. 4
{
  "formula": "YFe2P",
  "functional": "PBE",
  "state": "relaxed",
  "cell": [[5.415, 0.004, 0.003], [4.036, 3.610, 0.003], [4.036, 1.544, 3.263]],
  "species": ["P", "Fe", "Fe", "Y"],
  "fractional_positions": [[0.545, 0.545, 0.545], [0.948, 0.948, 0.948], [0.256, 0.256, 0.256], [0.751, 0.751, 0.751]],
  "ef_kj_per_mol_fu": -226
}

=====

No. 5
{
  "formula": "Pu2NiHg",
  "functional": "PBE",
  "state": "relaxed",
  "cell": [[-2.464, -0.147, -2.135], [0.224, -3.255, -0.035], [-5.424, -0.441, 6.289]],
  "species": ["Ni", "Pu", "Pu", "Hg"],
  "fractional_positions": [[0.500, 0.500, 0.000], [0.000, 0.000, 0.792], [0.000, 0.000, 0.208], [0.500, 0.500, 0.500]],
  "e_above_lowest_polymorph_ev_per_fu": 0.00,
  "ef_kj_per_mol_fu": -34
}

=====

No. 6
{
  "formula": "Li7Ag3Bi",
  "functional": "PBE",
  "state": "relaxed",
  "cell": [[-3.073, -2.221, -3.404], [4.876, -4.449, 2.454], [-2.894, 0.230, 6.415]],
  "species": ["Li", "Li", "Li", "Li", "Li", "Li", "Li", "Bi", "Ag", "Ag", "Ag"],
  "fractional_positions": [[0.667, 0.397, 0.937], [0.824, 0.832, 0.832], [0.333, 0.603, 0.063], [0.667, 0.937, 0.397], [0.176, 0.168, 0.168], [0.000, 0.500, 0.500], [0.333, 0.063, 0.603], [0.500, 0.500, 0.500], [0.500, 0.000, 0.000], [0.000, 0.226, 0.774], [0.000, 0.774, 0.226]],
  "ef_kj_per_mol_fu": -157
}

=====

No. 7
{
  "formula": "K2PtBr",
  "functional": "PBE",
  "state": "relaxed",
  "cell": [[-2.769, -1.122, 2.009], [-1.831, -0.833, -2.988], [1.570, -8.929, -2.822]],
  "species": ["K", "K", "Pt", "Br"],
  "fractional_positions": [[0.000, 0.488, 0.513], [0.000, 0.012, 0.987], [0.500, 0.250, 0.250], [0.500, 0.750, 0.750]],
  "raw_formation_energy_ev_per_atom": -0.51,
  "e_above_lowest_polymorph_ev_per_fu": 0.00
}

=====

No. 8
{
  "formula": "KNpOsO6",
  "functional": "PBE",
  "state": "relaxed",
  "cell": [[-4.026, 2.824, -6.029], [-6.045, 0.061, 4.065], [6.148, 3.519, 2.563]],
  "species": ["O", "O", "O", "O", "O", "O", "O", "O", "O", "O", "O", "O", "Np", "Np", "Os", "Os", "K", "K"],
  "fractional_positions": [[0.448, 0.670, 0.254], [0.194, 0.916, 0.746], [0.806, 0.670, 0.254], [0.806, 0.084, 0.254], [0.552, 0.330, 0.746], [0.552, 0.916, 0.746], [0.171, 0.921, 0.342], [0.461, 0.711, 0.923], [0.539, 0.289, 0.077], [0.194, 0.330, 0.746], [0.448, 0.084, 0.254], [0.829, 0.079, 0.658], [0.500, 0.000, 0.500], [0.000, 0.000, 0.500], [0.500, 0.000, 0.000], [0.500, 0.500, 0.000], [0.870, 0.620, 0.740], [0.130, 0.380, 0.260]],
  "raw_formation_energy_ev_per_atom": -1.95
}

=====

No. 9
{
  "formula": "Tb2CdSb",
  "functional": "PBE",
  "state": "relaxed",
  "cell": [[-1.457, 2.961, 2.156], [-1.455, -2.597, 2.584], [5.869, 0.278, 3.585]],
  "species": ["Tb", "Tb", "Cd", "Sb"],
  "fractional_positions": [[0.000, 0.000, 0.756], [0.000, 0.000, 0.244], [0.500, 0.500, 0.500], [0.500, 0.500, 0.000]],
  "raw_formation_energy_ev_per_atom": -0.62,
  "e_above_lowest_polymorph_ev_per_fu": 0.00
}

=====

No. 10
{
  "formula": "Na2CaMgCd",
  "functional": "PBE",
  "state": "relaxed",
  "cell": [[-6.254, -0.582, -0.528], [0.339, -5.579, 2.138], [-0.700, 2.204, 5.864]],
  "species": ["Ca", "Na", "Na", "Cd", "Mg"],
  "fractional_positions": [[0.000, 0.000, 0.000], [0.000, 0.000, 0.500], [0.500, 0.000, 0.000], [0.000, 0.500, 0.000], [0.500, 0.500, 0.500]],
  "ef_kj_per_mol_fu": 295
}

=====

No. 11
{
  "formula": "Ac4Ga2Pd5",
  "functional": "PBE",
  "state": "relaxed",
  "cell": [[4.266, 0.000, 0.000], [0.000, 7.543, 0.386], [0.000, -0.220, 8.629]],
  "species": ["Pd", "Pd", "Pd", "Pd", "Pd", "Ac", "Ac", "Ac", "Ac", "Ga", "Ga"],
  "fractional_positions": [[0.000, 0.587, 0.346], [0.000, 0.129, 0.130], [0.000, 0.500, 0.000], [0.000, 0.413, 0.654], [0.000, 0.871, 0.870], [0.500, 0.241, 0.883], [0.500, 0.759, 0.117], [0.500, 0.277, 0.366], [0.500, 0.723, 0.634], [0.000, 0.077, 0.629], [0.000, 0.923, 0.371]],
  "ef_kj_per_mol_fu": -828
}

=====

No. 12
{
  "formula": "MnTe2Au",
  "functional": "PBE",
  "state": "relaxed",
  "cell": [[-2.827, 0.503, -6.127], [-0.145, -4.144, -0.060], [-7.840, 0.280, 0.704]],
  "species": ["Mn", "Mn", "Te", "Te", "Te", "Te", "Au", "Au"],
  "fractional_positions": [[0.057, 0.147, 0.046], [0.172, 0.535, 0.126], [0.845, 0.803, 0.314], [0.384, 0.879, 0.858], [0.898, 0.304, 0.810], [0.331, 0.376, 0.362], [0.114, 0.840, 0.586], [0.614, 0.840, 0.086]],
  "raw_formation_energy_ev_per_atom": 0.03,
  "e_above_lowest_polymorph_ev_per_fu": 0.49
}

=====

Number 1: magnetization 0.000 μB/f.u.. Number 2: magnetization 0.001 μB/f.u.. Number 3: magnetization 0.000 μB/f.u.. Number 4: magnetization 2.330 μB/f.u.. Number 5: magnetization 11.191 μB/f.u.. Number 6: magnetization 0.000 μB/f.u.. Number 7: magnetization 0.185 μB/f.u.. Number 8: magnetization 1.900 μB/f.u.. Number 9: magnetization 0.493 μB/f.u.. Number 10: magnetization 0.000 μB/f.u.. Number 11: magnetization 0.000 μB/f.u.. Number 12: magnetization 0.559 μB/f.u..